## YGeBi (PBE)

Data for crystalline YGeBi at its relaxed geometry.

Properties
DFT formation energy ... -0.582 eV/atom
Energy above the lowest structure with this stoichiometry ... 0 kJ/mol of formula units

Cell: 4.1979 4.5055 8.5302 Å, 105.31 90.00 90.00°
Last column: nearest neighbours and their distance in Å.
Fractional coordinates of all 6 atoms:
Y 0.7500 0.9066 0.8132  6 Ge 3.16-3.28, 4 Bi 3.36-3.39
Ge 0.7500 0.5514 0.1029  2 Ge 2.70
Bi 0.2500 0.7474 0.4948  4 Bi 3.08, 4 Y 3.36-3.39
Y 0.2500 0.0934 0.1868  6 Ge 3.16-3.28, 4 Bi 3.36-3.39
Ge 0.2500 0.4486 0.8971  2 Ge 2.70
Bi 0.7500 0.2526 0.5052  4 Bi 3.08, 4 Y 3.36-3.39